No. 1
YCuNO2: optimized geometry, PBE.

```
YCuNO2
1.0
3.827 0.000 0.000
0.000 3.827 0.000
0.000 0.000 3.743
Y O Cu N
1 2 1 1
Direct
0.500 0.500 0.500
0.000 0.500 0.000
0.500 0.000 0.000
0.000 0.000 0.000
0.000 0.000 0.500
```

Crystal system: tetragonal
Raw formation energy: -0.968 eV/atom
Total DFT energy (no corrections): -6.728 eV/atom

=====

No. 2
YCuNO2: optimized geometry, PBE.

```
YCuNO2
1.0
4.353 0.000 0.000
0.000 4.353 0.000
0.000 0.000 4.599
Y O Cu N
1 2 1 1
Direct
0.000 0.000 0.000
0.000 0.500 0.000
0.500 0.000 0.000
0.500 0.500 0.500
0.000 0.000 0.500
```

Crystal system: tetragonal
Raw formation energy: -0.091 eV/atom
Total DFT energy (no corrections): -5.851 eV/atom